Record 1
Entry from Alexandria: a relaxed LiCuAsO4 crystal (PBE).

The structure in CIF format:
```
data_LiCuAsO4
_chemical_formula_sum 'Li2 Cu2 As2 O8'
_cell_length_a 4.498
_cell_length_b 4.498
_cell_length_c 9.211
_cell_angle_alpha 90.00
_cell_angle_beta 90.00
_cell_angle_gamma 90.00
_space_group_name_H-M_alt 'I -4'
_space_group_IT_number 82
_space_group_name_Hall 'I -4'
loop_
_atom_site_label
_atom_site_type_symbol
_atom_site_fract_x
_atom_site_fract_y
_atom_site_fract_z
Li1 Li 0.000 0.000 0.000
Cu1 Cu 0.000 0.500 0.750
As1 As 0.000 0.000 0.500
O1 O 0.201 0.246 0.606
```

- M_tot (μB/atom) = 0.143
- DOS at the Fermi energy (states/eV/atom) = 0.85
- raw formation energy (eV/f.u.) = -8.35
- volume (A^3/atom) = 13.31

---

Record 2
Entry from Alexandria: a relaxed Tl2SnBi2Pb2 crystal (PBE).

The structure in CIF format:
```
data_Tl2SnBi2Pb2
_chemical_formula_sum 'Tl6 Sn3 Bi6 Pb6'
_cell_length_a 5.6187
_cell_length_b 5.6187
_cell_length_c 24.2782
_cell_angle_alpha 90.00
_cell_angle_beta 90.00
_cell_angle_gamma 120.00
_space_group_name_H-M_alt 'R -3 m'
_space_group_IT_number 166
_space_group_name_Hall '-R 3 2"'
loop_
_atom_site_label
_atom_site_type_symbol
_atom_site_fract_x
_atom_site_fract_y
_atom_site_fract_z
Tl1 Tl 0.0000 0.0000 0.1375
Sn1 Sn 0.0000 0.0000 0.0000
Bi1 Bi 0.0000 0.0000 0.2812
Pb1 Pb 0.0000 0.0000 0.4183
```

- M_tot (μB/atom) = 0.000
- DOS at the Fermi energy (states/eV/atom) = 0.47
- volume (A^3/atom) = 31.61
- uncorrected energy (eV/f.u.) = -23.721

---

Record 3
Entry from Alexandria: a relaxed In2Pb2S5 crystal (PBE).

The structure in CIF format:
```
data_In2Pb2S5
_chemical_formula_sum 'In4 Pb4 S10'
_cell_length_a 18.571
_cell_length_b 4.134
_cell_length_c 6.736
_cell_angle_alpha 90.00
_cell_angle_beta 95.54
_cell_angle_gamma 90.00
_space_group_name_H-M_alt 'C 1 2/m 1'
_space_group_IT_number 12
_space_group_name_Hall '-C 2y'
loop_
_atom_site_label
_atom_site_type_symbol
_atom_site_fract_x
_atom_site_fract_y
_atom_site_fract_z
In1 In 0.131 0.000 0.391
Pb1 Pb 0.065 0.500 0.831
S1 S 0.000 0.000 0.500
S2 S 0.143 0.000 0.036
S3 S 0.175 0.500 0.582
```

- M_tot (μB/atom) = 0.000
- raw formation energy (eV/f.u.) = -4.21
- volume (A^3/atom) = 28.59